## Cr2O5 (PBE+U)

Data for a relaxed Cr2O5 crystal.

Results
Distance to the lowest polymorph of the same formula in meV per atom: 0.0

Geometry as POSCAR:
```
Cr2O5
1.0
-3.381 -2.228 2.870
-3.915 -3.390 -7.243
5.448 -7.525 0.577
O Cr
20 8
direct
0.665 0.902 0.765
0.416 0.189 0.526
0.963 0.011 0.544
0.277 0.296 0.258
0.723 0.796 0.242
0.537 0.989 0.044
0.335 0.402 0.735
0.170 0.009 0.817
0.165 0.598 0.235
0.670 0.491 0.183
0.916 0.311 0.474
0.330 0.991 0.317
0.584 0.689 0.974
0.223 0.704 0.758
0.830 0.509 0.683
0.835 0.098 0.265
0.463 0.489 0.456
0.777 0.204 0.742
0.037 0.511 0.956
0.084 0.811 0.026
0.383 0.841 0.908
0.617 0.341 0.592
0.892 0.030 0.719
0.392 0.470 0.281
0.108 0.530 0.781
0.883 0.659 0.092
0.117 0.159 0.408
0.608 0.970 0.219
```

## CrO3 (PBE+U)

Data for a relaxed CrO3 crystal.

Results
Distance to the lowest polymorph of the same formula in meV per atom: 723.3
N(E_F) in states/eV/cell: 5.006

Geometry as POSCAR:
```
CrO3
1.0
-2.508 2.310 -0.176
-0.613 -3.252 -0.839
-2.563 -2.038 9.775
O Cr
6 2
direct
0.333 0.667 0.083
0.000 0.000 0.750
0.000 0.000 0.250
0.333 0.667 0.417
0.667 0.333 0.917
0.667 0.333 0.583
0.667 0.333 0.750
0.333 0.667 0.250
```

## Cr3O4 (PBE+U)

Data for a relaxed Cr3O4 crystal.

Results
Electronic total energy in eV/f.u.: -54.9
N(E_F) in states/eV/cell: 0.000

Geometry as POSCAR:
```
Cr3O4
1.0
-0.482 1.531 -2.601
3.846 -2.394 -2.335
-4.295 -2.743 -1.751
O Cr
4 3
direct
0.056 0.299 0.794
0.944 0.701 0.206
0.574 0.780 0.793
0.426 0.220 0.207
0.000 0.000 0.000
0.500 0.500 0.000
0.000 0.500 0.500
```

## CrO3 (PBE+U)

Data for a relaxed CrO3 crystal.

Results
Distance to the lowest polymorph of the same formula in meV per atom: 0.0
N(E_F) in states/eV/cell: 0.000

Geometry as POSCAR:
```
CrO3
1.0
-2.528 2.742 3.372
-1.622 -5.009 -0.883
3.557 -1.893 4.206
O Cr
6 2
direct
0.623 0.493 0.250
0.713 0.809 0.750
0.381 0.000 0.500
0.903 0.191 0.250
0.132 0.507 0.750
0.381 0.000 0.000
0.404 0.822 0.750
0.581 0.178 0.250
```

## Cr2O5 (PBE+U)

Data for a relaxed Cr2O5 crystal.

Results
Distance to the lowest polymorph of the same formula in meV per atom: 45.6

Geometry as POSCAR:
```
Cr2O5
1.0
1.857 -6.258 0.000
1.857 6.258 0.000
0.000 0.000 10.745
O Cr
10 4
direct
0.759 0.241 0.750
0.577 0.423 0.596
0.761 0.239 0.431
0.241 0.759 0.250
0.761 0.239 0.069
0.239 0.761 0.569
0.423 0.577 0.404
0.239 0.761 0.931
0.423 0.577 0.096
0.577 0.423 0.904
0.297 0.703 0.095
0.703 0.297 0.595
0.297 0.703 0.405
0.703 0.297 0.905
```

## CrOsO3 (PBE+U)

Data for a relaxed CrOsO3 crystal.

Results
Electronic total energy in eV/f.u.: -36.8
N(E_F) in states/eV/cell: 3.631

Geometry as POSCAR:
```
CrOsO3
1.0
3.864 0.000 0.000
0.000 3.864 0.000
0.000 0.000 3.864
O Os Cr
3 1 1
direct
0.500 0.000 0.000
0.000 0.500 0.000
0.000 0.000 0.500
0.000 0.000 0.000
0.500 0.500 0.500
```